1.
! GGA-PBE PmDySi2Au2, optimized geometry; values from VASP
! **Energy relative to the elements, uncorrected**: -0.817 eV per atom
&SYSTEM
  ibrav = 0, nat = 6, ntyp = 4
/
ATOMIC_SPECIES
Pm 145.00 Pm.upf
Dy 162.50 Dy.upf
Si 28.09 Si.upf
Au 196.97 Au.upf
ATOMIC_POSITIONS crystal
Pm 0.0000 0.0000 0.0000
Dy 0.0000 0.0000 0.5000
Si 0.3333 0.6667 0.7502
Si 0.6667 0.3333 0.2498
Au 0.3333 0.6667 0.2646
Au 0.6667 0.3333 0.7354
CELL_PARAMETERS angstrom
4.3075 0.0000 0.0000
-2.1538 3.7304 0.0000
0.0000 0.0000 8.0015

---

2.
! GGA-PBE PmDySnAu, optimized geometry; values from VASP
! **DFT formation energy**: -713.4 meV per atom
&SYSTEM
  ibrav = 0, nat = 4, ntyp = 4
/
ATOMIC_SPECIES
Pm 145.00 Pm.upf
Dy 162.50 Dy.upf
Sn 118.71 Sn.upf
Au 196.97 Au.upf
ATOMIC_POSITIONS crystal
Pm 0.0000 0.0000 0.0000
Dy 0.5000 0.5000 0.5000
Sn 0.7500 0.7500 0.7500
Au 0.2500 0.2500 0.2500
CELL_PARAMETERS angstrom
0.0000 3.7369 3.7369
3.7369 0.0000 3.7369
3.7369 3.7369 0.0000

---

3.
! GGA-PBE PmDyZnAu, optimized geometry; values from VASP
! **DFT formation energy**: -580.1 meV per atom
! **ΔE to the lowest computed polymorph**: 0 meV/atom
&SYSTEM
  ibrav = 0, nat = 4, ntyp = 4
/
ATOMIC_SPECIES
Pm 145.00 Pm.upf
Dy 162.50 Dy.upf
Zn 65.41 Zn.upf
Au 196.97 Au.upf
ATOMIC_POSITIONS crystal
Pm 0.0000 0.0000 0.0000
Dy 0.0000 0.0000 0.4956
Zn 0.5000 0.5000 0.2584
Au 0.5000 0.5000 0.7279
CELL_PARAMETERS angstrom
3.6455 0.0000 0.0000
0.0000 3.6455 0.0000
0.0000 0.0000 7.1831

---

4.
! GGA-PBE PmDyZnAu, optimized geometry; values from VASP
! **DFT formation energy**: -562.2 meV per atom
! **ΔE to the lowest computed polymorph**: 18 meV/atom
&SYSTEM
  ibrav = 0, nat = 4, ntyp = 4
/
ATOMIC_SPECIES
Pm 145.00 Pm.upf
Dy 162.50 Dy.upf
Zn 65.41 Zn.upf
Au 196.97 Au.upf
ATOMIC_POSITIONS crystal
Pm 0.0000 0.0000 0.0000
Dy 0.5000 0.5000 0.5000
Zn 0.7500 0.7500 0.7500
Au 0.2500 0.2500 0.2500
CELL_PARAMETERS angstrom
0.0000 3.6357 3.6357
3.6357 0.0000 3.6357
3.6357 3.6357 0.0000

---

5.
! GGA-PBE Pr2DyAu, optimized geometry; values from VASP
! **DFT formation energy**: -224.4 meV per atom
! **ΔE to the lowest computed polymorph**: 172 meV/atom
&SYSTEM
  ibrav = 0, nat = 4, ntyp = 3
/
ATOMIC_SPECIES
Pr 140.91 Pr.upf
Dy 162.50 Dy.upf
Au 196.97 Au.upf
ATOMIC_POSITIONS crystal
Pr 0.0000 0.0000 0.0000
Pr 0.1886 0.1886 0.1886
Dy 0.7616 0.7616 0.7616
Au 0.5939 0.5939 0.5939
CELL_PARAMETERS angstrom
1.8964 1.0949 10.2160
-1.8964 1.0949 10.2160
0.0000 -2.1898 10.2160

---

6.
! GGA-PBE Pr3DyAu4, optimized geometry; values from VASP
! **DFT formation energy**: -774.8 meV per atom
&SYSTEM
  ibrav = 0, nat = 8, ntyp = 3
/
ATOMIC_SPECIES
Pr 140.91 Pr.upf
Dy 162.50 Dy.upf
Au 196.97 Au.upf
ATOMIC_POSITIONS crystal
Pr 0.0000 0.0000 0.0000
Pr 0.0000 0.0000 0.2542
Pr 0.0000 0.0000 0.7458
Dy 0.0000 0.0000 0.5000
Au 0.5000 0.5000 0.1261
Au 0.5000 0.5000 0.3886
Au 0.5000 0.5000 0.6114
Au 0.5000 0.5000 0.8739
CELL_PARAMETERS angstrom
3.6913 0.0000 0.0000
0.0000 3.6913 0.0000
0.0000 0.0000 14.9471

---

7.
! GGA-PBE PrDy3Au4, optimized geometry; values from VASP
! **DFT formation energy**: -826.0 meV per atom
&SYSTEM
  ibrav = 0, nat = 8, ntyp = 3
/
ATOMIC_SPECIES
Pr 140.91 Pr.upf
Dy 162.50 Dy.upf
Au 196.97 Au.upf
ATOMIC_POSITIONS crystal
Pr 0.0000 0.0000 0.0000
Dy 0.2487 0.2487 0.2487
Dy 0.5000 0.5000 0.5000
Dy 0.7513 0.7513 0.7513
Au 0.1283 0.1283 0.1283
Au 0.3812 0.3812 0.3812
Au 0.6188 0.6188 0.6188
Au 0.8717 0.8717 0.8717
CELL_PARAMETERS angstrom
2.5594 1.4777 8.5058
-2.5594 1.4777 8.5058
0.0000 -2.9554 8.5058

---

8.
! GGA-PBE Pr2DyAu, optimized geometry; values from VASP
! **DFT formation energy**: -296.8 meV per atom
! **ΔE to the lowest computed polymorph**: 100 meV/atom
&SYSTEM
  ibrav = 0, nat = 4, ntyp = 3
/
ATOMIC_SPECIES
Pr 140.91 Pr.upf
Dy 162.50 Dy.upf
Au 196.97 Au.upf
ATOMIC_POSITIONS crystal
Pr 0.0000 0.0000 0.0000
Pr 0.3333 0.6667 0.7017
Dy 0.3333 0.6667 0.2929
Au 0.6667 0.3333 0.4847
CELL_PARAMETERS angstrom
3.8013 0.0000 0.0000
-1.9006 3.2920 0.0000
0.0000 0.0000 10.1897

---

9.
! GGA-PBE Pr2Dy2Au3, optimized geometry; values from VASP
! **DFT formation energy**: -626.6 meV per atom
&SYSTEM
  ibrav = 0, nat = 14, ntyp = 3
/
ATOMIC_SPECIES
Pr 140.91 Pr.upf
Dy 162.50 Dy.upf
Au 196.97 Au.upf
ATOMIC_POSITIONS crystal
Pr 0.0000 0.3534 0.5000
Pr 0.1466 0.1466 0.1466
Pr 0.3534 0.5000 0.0000
Pr 0.5000 0.0000 0.3534
Dy 0.0000 0.8644 0.5000
Dy 0.5000 0.0000 0.8644
Dy 0.6356 0.6356 0.6356
Dy 0.8644 0.5000 0.0000
Au 0.1084 0.7500 0.8584
Au 0.2500 0.6416 0.3916
Au 0.3916 0.2500 0.6416
Au 0.6416 0.3916 0.2500
Au 0.7500 0.8584 0.1084
Au 0.8584 0.1084 0.7500
CELL_PARAMETERS angstrom
-4.5540 4.5540 4.5540
4.5540 -4.5540 4.5540
4.5540 4.5540 -4.5540

---

10.
! GGA-PBE PrDyAu4, optimized geometry; values from VASP
! **DFT formation energy**: -799.6 meV per atom
! **ΔE to the lowest computed polymorph**: 3 meV/atom
&SYSTEM
  ibrav = 0, nat = 6, ntyp = 3
/
ATOMIC_SPECIES
Pr 140.91 Pr.upf
Dy 162.50 Dy.upf
Au 196.97 Au.upf
ATOMIC_POSITIONS crystal
Pr 0.0000 0.0000 0.0000
Dy 0.5000 0.5000 0.5000
Au 0.0000 0.0000 0.3407
Au 0.0000 0.0000 0.6593
Au 0.5000 0.5000 0.1740
Au 0.5000 0.5000 0.8260
CELL_PARAMETERS angstrom
3.8139 0.0000 0.0000
0.0000 3.8139 0.0000
0.0000 0.0000 9.2294

---

11.
! GGA-PBE PrDy2Au6, optimized geometry; values from VASP
! **DFT formation energy**: -742.0 meV per atom
&SYSTEM
  ibrav = 0, nat = 9, ntyp = 3
/
ATOMIC_SPECIES
Pr 140.91 Pr.upf
Dy 162.50 Dy.upf
Au 196.97 Au.upf
ATOMIC_POSITIONS crystal
Pr 0.0000 0.0000 0.0000
Dy 0.3587 0.8587 0.5000
Dy 0.6413 0.1413 0.5000
Au 0.0111 0.3223 0.6888
Au 0.3191 0.5000 0.8191
Au 0.3664 0.6777 0.6888
Au 0.6336 0.3223 0.3112
Au 0.6809 0.5000 0.1809
Au 0.9889 0.6777 0.3112
CELL_PARAMETERS angstrom
-1.8406 3.8465 7.3452
1.8406 -3.8465 7.3452
1.8406 3.8465 -7.3452

---

12.
! GGA-PBE PrDy2Au2, optimized geometry; values from VASP
! **DFT formation energy**: -552.7 meV per atom
! **ΔE to the lowest computed polymorph**: 121 meV/atom
&SYSTEM
  ibrav = 0, nat = 5, ntyp = 3
/
ATOMIC_SPECIES
Pr 140.91 Pr.upf
Dy 162.50 Dy.upf
Au 196.97 Au.upf
ATOMIC_POSITIONS crystal
Pr 0.0000 0.0000 0.0000
Dy 0.2500 0.7500 0.5000
Dy 0.7500 0.2500 0.5000
Au 0.3822 0.3822 0.7677
Au 0.6178 0.6178 0.2323
CELL_PARAMETERS angstrom
3.4747 -3.4719 0.0000
3.4747 3.4719 0.0000
-3.4438 0.0000 5.8086

---

13.
! GGA-PBE PrDyAu2, optimized geometry; values from VASP
! **DFT formation energy**: -782.7 meV per atom
! **ΔE to the lowest computed polymorph**: 38 meV/atom
&SYSTEM
  ibrav = 0, nat = 4, ntyp = 3
/
ATOMIC_SPECIES
Pr 140.91 Pr.upf
Dy 162.50 Dy.upf
Au 196.97 Au.upf
ATOMIC_POSITIONS crystal
Pr 0.0000 0.0000 0.0000
Dy 0.5000 0.5000 0.5000
Au 0.2500 0.2500 0.2500
Au 0.7500 0.7500 0.7500
CELL_PARAMETERS angstrom
0.0000 3.6777 3.6777
3.6777 0.0000 3.6777
3.6777 3.6777 0.0000